Tb5Tm2Sc5, optimized geometry, DFT PBE-GGA; formation enthalpy at 0 K = 50 meV per atom; crystal system = monoclinic; SG = C2/m, No. 12
1.0
4.8318 0.0000 0.0000
-2.4159 7.2337 -0.4694
0.0000 -4.2054 10.0072
Tb Tm Sc
5 2 5
Cartesian
2.4159 -2.1027 5.0036 Tb
2.4159 -1.8219 9.8463 Tb
2.4159 0.2046 2.4400 Tb
0.0000 2.8236 7.0978 Tb
0.0000 4.8502 -0.3085 Tb
0.0000 -1.9307 7.3876 Tm
2.4159 4.9590 2.1502 Tm
0.0000 0.3615 4.8624 Sc
2.4159 0.4728 7.2260 Sc
0.0000 2.5555 2.3117 Sc
2.4159 2.6667 4.6754 Sc
0.0000 0.0000 0.0000 Sc